[1]
# Ca3Re | Alexandria via LeMat-Bulk | PBE | optimized geometry
data_Ca3Re
_chemical_formula_sum 'Ca3 Re1'
_space_group_name_H-M_alt 'P 1'
_space_group_IT_number 1
_cell_length_a 11.403
_cell_length_b 11.403
_cell_length_c 11.403
_cell_angle_alpha 17.37
_cell_angle_beta 17.37
_cell_angle_gamma 17.37
loop_
_space_group_symop_operation_xyz
'x,y,z'
loop_
_atom_site_label
_atom_site_fract_x
_atom_site_fract_y
_atom_site_fract_z
_atom_site_occupancy
Ca1 0.733 0.733 0.733 1
Ca2 0.267 0.267 0.267 1
Ca3 0.500 0.500 0.500 1
Re1 0.000 0.000 0.000 1
# ΔE to the lowest computed polymorph, kJ/mol of atoms: 46.35
# Energy, eV/cell: -15.51

=====

[2]
# Ca5Re | Alexandria via LeMat-Bulk | PBE | optimized geometry
data_Ca5Re
_chemical_formula_sum 'Ca5 Re1'
_space_group_name_H-M_alt 'P 1'
_space_group_IT_number 1
_cell_length_a 6.447
_cell_length_b 6.447
_cell_length_c 6.287
_cell_angle_alpha 90.00
_cell_angle_beta 90.00
_cell_angle_gamma 120.00
loop_
_space_group_symop_operation_xyz
'x,y,z'
loop_
_atom_site_label
_atom_site_fract_x
_atom_site_fract_y
_atom_site_fract_z
_atom_site_occupancy
Ca1 0.667 0.333 0.000 1
Ca2 0.500 0.000 0.500 1
Ca3 0.000 0.500 0.500 1
Ca4 0.333 0.667 0.000 1
Re1 0.000 0.000 0.000 1
Ca5 0.500 0.500 0.500 1
# ΔE to the lowest computed polymorph, kJ/mol of atoms: 74.45
# Energy, eV/cell: -15.26

=====

[3]
# CaRe2 | Alexandria via LeMat-Bulk | PBE | optimized geometry
data_CaRe2
_chemical_formula_sum 'Ca2 Re4'
_space_group_name_H-M_alt 'P 1'
_space_group_IT_number 1
_cell_length_a 5.421
_cell_length_b 5.421
_cell_length_c 5.421
_cell_angle_alpha 60.00
_cell_angle_beta 60.00
_cell_angle_gamma 60.00
loop_
_space_group_symop_operation_xyz
'x,y,z'
loop_
_atom_site_label
_atom_site_fract_x
_atom_site_fract_y
_atom_site_fract_z
_atom_site_occupancy
Re1 0.125 0.125 0.625 1
Re2 0.125 0.125 0.125 1
Re3 0.125 0.625 0.125 1
Re4 0.625 0.125 0.125 1
Ca1 0.750 0.750 0.750 1
Ca2 0.500 0.500 0.500 1
# Energy, eV/cell: -52.35

=====

[4]
# CaRe3 | Alexandria via LeMat-Bulk | PBE | optimized geometry
data_CaRe3
_chemical_formula_sum 'Ca1 Re3'
_space_group_name_H-M_alt 'P 1'
_space_group_IT_number 1
_cell_length_a 4.082
_cell_length_b 4.082
_cell_length_c 4.082
_cell_angle_alpha 90.00
_cell_angle_beta 90.00
_cell_angle_gamma 90.00
loop_
_space_group_symop_operation_xyz
'x,y,z'
loop_
_atom_site_label
_atom_site_fract_x
_atom_site_fract_y
_atom_site_fract_z
_atom_site_occupancy
Ca1 0.000 0.000 0.000 1
Re1 0.500 0.500 0.000 1
Re2 0.500 0.000 0.500 1
Re3 0.000 0.500 0.500 1
# ΔE to the lowest computed polymorph, kJ/mol of atoms: 52.64
# Energy, eV/cell: -35.04

=====

Q: What is the energy in the second record?
A: -15.26 eV/cell